The following is a GGA-PBE calculation of an optimized crystal structure of NdMg2Ga2Au2, from Alexandria.

Cell: 4.484 4.484 8.706 Å, 75.08 75.08 60.00°
Positions (direct):
Nd (0.000, 0.000, 0.000)
Mg (0.137, 0.137, 0.590)
Mg (0.863, 0.863, 0.410)
Ga (0.741, 0.741, 0.777)
Ga (0.259, 0.259, 0.223)
Au (0.572, 0.572, 0.283)
Au (0.428, 0.428, 0.717)

symmetry = R-3m, No. 166
crystal system = trigonal

***

The following is a GGA-PBE calculation of an optimized crystal structure of CsSn2BiPd, from Alexandria.

Cell: 6.111 6.185 6.111 Å, 90.00 90.00 90.00°
Positions (direct):
Cs (0.000, 0.000, 0.000)
Bi (0.000, 0.500, 0.000)
Pd (0.500, 0.500, 0.500)
Sn (0.000, 0.000, 0.500)
Sn (0.500, 0.000, 0.000)

symmetry = P4/mmm, No. 123
crystal system = tetragonal

***

The following is a GGA-PBE calculation of an optimized crystal structure of Zn2GaNi6, from Alexandria.

Cell: 3.967 6.747 6.747 Å, 42.89 72.91 72.91°
Last column: magnetic moment on the atom in μB.
Positions (direct):
Zn (0.388, 0.112, 0.112)  -0.01
Zn (0.612, 0.888, 0.888)  -0.01
Ga (0.500, 0.500, 0.500)  -0.01
Ni (0.199, 0.547, 0.055)  0.29
Ni (0.801, 0.453, 0.945)  0.29
Ni (0.801, 0.945, 0.453)  0.29
Ni (0.000, 0.239, 0.761)  0.09
Ni (0.000, 0.761, 0.239)  0.09
Ni (0.199, 0.055, 0.547)  0.29

symmetry = Immm, No. 71
crystal system = orthorhombic
relative energy among the computed polymorphs = 145 meV per atom

***

The following is a GGA-PBE calculation of an optimized crystal structure of NaAcInIr, from Alexandria.

Cell: 5.131 5.131 5.131 Å, 60.00 60.00 60.00°
Positions (direct):
Na (0.500, 0.500, 0.500)
Ac (0.750, 0.750, 0.750)
Ir (0.000, 0.000, 0.000)
In (0.250, 0.250, 0.250)

symmetry = F-43m, No. 216
crystal system = cubic

***

no.,energy relative to the elements (eV/atom),E_tot (eV per atom)
1,-0.54,-3.477
2,1.71,-1.880
3,0.08,-4.390
4,-0.16,-4.418